This record from Alexandria describes an optimized crystal structure of La6Ir2Os. The functional is GGA-PBE.

abc: 6.7305 7.3136 12.2752
angles: 90.00 90.00 90.00
With the nearest neighbours (Å) after each atom.
Positions (direct):
La  0.2382  0.1711  0.6642  1 Os 2.86, 2 Ir 2.89-2.90
La  0.2398  0.1710  0.3363  1 Os 2.87, 2 Ir 2.89-2.90
La  0.2807  0.1699  0.0002  1 Os 2.83, 2 Ir 2.93
La  0.7807  0.3301  0.4998  1 Os 2.83, 2 Ir 2.93
La  0.7398  0.3290  0.1637  1 Os 2.87, 2 Ir 2.89-2.90
La  0.7382  0.3289  0.8358  1 Os 2.86, 2 Ir 2.89-2.90
La  0.7618  0.8289  0.3358  1 Os 2.86, 2 Ir 2.89-2.90
La  0.7602  0.8290  0.6637  1 Os 2.87, 2 Ir 2.89-2.90
La  0.7193  0.8301  0.9998  1 Os 2.83, 2 Ir 2.93
La  0.2193  0.6699  0.5002  1 Os 2.83, 2 Ir 2.93
La  0.2602  0.6710  0.8363  1 Os 2.87, 2 Ir 2.89-2.90
La  0.2618  0.6711  0.1642  1 Os 2.86, 2 Ir 2.89-2.90
Ir  0.5007  0.0002  0.1798  6 La 2.89-2.93
Ir  0.0007  0.4998  0.3202  6 La 2.89-2.93
Ir  0.9993  0.5002  0.6798  6 La 2.89-2.93
Ir  0.4993  0.9998  0.8202  6 La 2.89-2.93
Os  0.5000  0.5000  0.0000  6 La 2.83-2.87
Os  0.0000  0.0000  0.5000  6 La 2.83-2.87

The space group is P2_1/c (14). The energy of formation from the pure elements comes out at -466 meV per atom.

This record from Alexandria describes an optimized crystal structure of LaIr3Os. The functional is GGA-PBE.

abc: 4.8084 4.8084 4.8084
angles: 90.00 90.00 90.00
With the nearest neighbours (Å) after each atom.
Positions (direct):
Ir  0.0000  0.5000  0.0000  2 La 2.40
Ir  0.0000  0.0000  0.5000  2 La 2.40
Ir  0.5000  0.0000  0.0000  2 La 2.40
Os  0.5000  0.5000  0.5000  12 Ir 3.40
La  0.0000  0.0000  0.0000  6 Ir 2.40

The space group is Pm-3m (221). The energy of formation from the pure elements comes out at 2760 meV per atom.

This record from Alexandria describes an optimized crystal structure of La8IrOs2. The functional is GGA-PBE.

abc: 6.3027 7.8693 7.8693
angles: 114.95 101.13 101.13
With the nearest neighbours (Å) after each atom.
Positions (direct):
La  0.4168  0.9107  0.6556  2 Os 2.83-2.84
La  0.4168  0.6556  0.9107  2 Os 2.83-2.84
La  0.8148  0.6361  0.6361  1 Ir 2.85
La  0.0000  0.2095  0.7842  1 Ir 2.82
La  0.0000  0.7842  0.2095  1 Ir 2.82
La  0.1852  0.3578  0.3578  1 Ir 2.85
La  0.5833  0.3382  0.0831  2 Os 2.83-2.84
La  0.5833  0.0831  0.3382  2 Os 2.83-2.84
Ir  0.9998  0.9969  0.9969  4 La 2.82-2.85
Os  0.5000  0.6977  0.2961  4 La 2.83-2.84
Os  0.5000  0.2961  0.6977  4 La 2.83-2.84

The space group is C2/m (12). The energy of formation from the pure elements comes out at -183 meV per atom.

This record from Alexandria describes an optimized crystal structure of LaIrOs. The functional is GGA-PBE.

abc: 6.9282 6.9282 6.9282
angles: 155.37 155.37 35.11
With the nearest neighbours (Å) after each atom.
Positions (direct):
Ir  0.0245  0.0245  0.0000  4 Os 2.61
La  0.3321  0.3321  0.0000  4 La 2.96, 4 Os 3.25, 4 Ir 3.29
Os  0.6434  0.6434  0.0000  4 Ir 2.61

The space group is I4mm (107). The energy of formation from the pure elements comes out at 143 meV per atom.

This record from Alexandria describes an optimized crystal structure of La2IrOs. The functional is GGA-PBE.

abc: 3.0487 3.8950 8.4241
angles: 90.00 90.00 90.00
With the nearest neighbours (Å) after each atom.
Positions (direct):
Ir  0.5000  0.5000  0.6825  4 Os 2.64
La  0.0000  0.0000  0.9188  1 Os 2.93, 2 La 3.05, 4 Ir 3.17
La  0.5000  0.5000  0.3275  1 Ir 2.99, 2 La 3.05, 4 Os 3.21
Os  0.0000  0.0000  0.5713  4 Ir 2.64, 1 La 2.93

The space group is Pmm2 (25). The energy of formation from the pure elements comes out at 106 meV per atom.

This record from Alexandria describes an optimized crystal structure of LaIrOs. The functional is GGA-PBE.

abc: 4.5586 4.5586 4.5586
angles: 60.00 60.00 60.00
With the nearest neighbours (Å) after each atom.
Positions (direct):
Ir  0.0000  0.0000  0.0000  4 Os 2.79
La  0.5000  0.5000  0.5000  4 Os 2.79
Os  0.7500  0.7500  0.7500  4 Ir 2.79, 4 La 2.79

The space group is F-43m (216). The energy of formation from the pure elements comes out at 475 meV per atom.

This record from Alexandria describes an optimized crystal structure of La8Ir3Os. The functional is GGA-PBE.

abc: 5.7702 9.2717 9.2474
angles: 106.90 108.18 90.00
With the nearest neighbours (Å) after each atom.
Positions (direct):
La  0.4397  0.6443  0.8795  1 Os 2.76, 2 Ir 2.82-2.98
La  0.3409  0.9847  0.6817  1 Os 2.61, 1 Ir 2.84
La  0.8767  0.3079  0.7533  3 Ir 2.90-2.92
La  0.2292  0.3369  0.4584  3 Ir 2.90-2.95, 1 Os 3.11
La  0.7713  0.6613  0.5427  2 Os 2.91, 2 Ir 2.99-3.08
La  0.1235  0.6856  0.2471  2 Ir 2.90, 1 Os 2.94
La  0.5567  0.3524  0.1135  3 Ir 2.80-2.95
La  0.6603  0.0024  0.3206  2 Ir 2.73-2.79
Ir  0.3918  0.3065  0.7836  6 La 2.80-2.98
Ir  0.7111  0.3120  0.4222  5 La 2.73-2.92
Ir  0.6057  0.6864  0.2114  6 La 2.79-2.99
Os  0.2913  0.6892  0.5827  4 La 2.61-2.91

The space group is Cm (8). The energy of formation from the pure elements comes out at -411 meV per atom.

This record from Alexandria describes an optimized crystal structure of La2IrOs. The functional is GGA-PBE.

abc: 5.8642 5.8642 5.8642
angles: 137.93 137.93 61.02
With the nearest neighbours (Å) after each atom.
Positions (direct):
Ir  0.7500  0.2500  0.5000  8 La 2.98-3.29, 4 Os 3.29
La  0.0000  0.0000  0.0000  4 Os 2.98, 4 La 3.29, 4 Ir 3.29
La  0.2500  0.7500  0.5000  4 Ir 2.98, 4 Os 3.29, 4 La 3.29
Os  0.5000  0.5000  0.0000  8 La 2.98-3.29, 4 Ir 3.29

The space group is I-4m2 (119). The energy of formation from the pure elements comes out at 36 meV per atom.

| no. | total magnetization (Bohr magnetons per cell) |
| --- | --- |
| 1 | 0.00 |
| 2 | 0.00 |
| 3 | 0.00 |
| 4 | 0.00 |
| 5 | 0.00 |
| 6 | 0.00 |
| 7 | 0.00 |
| 8 | 0.00 |